Density functional theory data (GGA-PBEsol) for As2PHBr after structural relaxation.

Unit cell a=4.7215 b=4.7215 c=5.2679 alpha=90.00 beta=90.00 gamma=90.00
Last column: nearest neighbours and their distance in Å.
Atoms (fractional coordinates):
As1 0.0000 0.5000 0.0000  2 P 2.36
Br1 0.0000 0.0000 0.5000  2 P 2.63
P1 0.0000 0.0000 0.0000  4 As 2.36, 2 Br 2.63
As2 0.5000 0.0000 0.0000  2 P 2.36
H1 0.5000 0.5000 0.5000  4 Br 3.34, 8 As 3.54

Output
DFT total energy, eV/atom: -3.179
Symmetry: No. 123